1.
This record from Alexandria describes a geometry-optimized Nd3MnTl4Te8 structure. The functional is PBE-GGA.

Unit cell a=9.567 b=9.567 c=9.567 alpha=56.00 beta=56.00 gamma=56.00
Fractional coordinates of all 16 atoms:
1 Nd 0.000 0.500 0.500
2 Nd 0.500 0.000 0.500
3 Nd 0.500 0.500 0.000
4 Mn 0.000 0.000 0.000
5 Tl 0.000 0.000 0.500
6 Tl 0.000 0.500 0.000
7 Tl 0.500 0.000 0.000
8 Tl 0.500 0.500 0.500
9 Te 0.226 0.226 0.759
10 Te 0.226 0.759 0.226
11 Te 0.241 0.774 0.774
12 Te 0.258 0.258 0.258
13 Te 0.742 0.742 0.742
14 Te 0.759 0.226 0.226
15 Te 0.774 0.241 0.774
16 Te 0.774 0.774 0.241

Results
**Formation energy without anion corrections**: -0.817 eV per atom
**Space group**: R-3m, No. 166



2.
This record from Alexandria describes a geometry-optimized NdTh2Mn structure. The functional is PBE-GGA.

Unit cell a=8.841 b=8.841 c=8.841 alpha=25.97 beta=25.97 gamma=25.97
Fractional coordinates of all 4 atoms:
1 Nd 0.000 0.000 0.000
2 Th 0.227 0.227 0.227
3 Th 0.450 0.450 0.450
4 Mn 0.846 0.846 0.846

Results
**Energy of formation from the pure elements**: 0.207 eV per atom
**Offset from the most stable computed form**: 40 meV/atom
**Space group**: R3m, No. 160



3.
This record from Alexandria describes a geometry-optimized NdThMn structure. The functional is PBE-GGA.

Unit cell a=7.471 b=7.471 c=6.060 alpha=98.88 beta=98.88 gamma=28.74
Fractional coordinates of all 6 atoms:
1 Nd 0.075 0.075 0.268
2 Nd 0.925 0.925 0.732
3 Th 0.340 0.340 0.180
4 Th 0.660 0.660 0.820
5 Mn 0.250 0.250 0.598
6 Mn 0.750 0.750 0.402

Results
**Energy of formation from the pure elements**: 0.106 eV per atom
**Space group**: C2/m, No. 12



4.
This record from Alexandria describes a geometry-optimized NdTh2Mn structure. The functional is PBE-GGA.

Unit cell a=3.588 b=3.588 c=8.713 alpha=90.00 beta=90.00 gamma=90.00
Fractional coordinates of all 4 atoms:
1 Nd 0.000 0.000 0.000
2 Th 0.500 0.500 0.298
3 Th 0.500 0.500 0.702
4 Mn 0.000 0.000 0.500

Results
**Energy of formation from the pure elements**: 0.167 eV per atom
**Offset from the most stable computed form**: 0 meV/atom
**Space group**: P4/mmm, No. 123



5.
This record from Alexandria describes a geometry-optimized NdTh3Mn structure. The functional is PBE-GGA.

Unit cell a=5.340 b=5.340 c=5.340 alpha=90.00 beta=90.00 gamma=90.00
Fractional coordinates of all 5 atoms:
1 Nd 0.000 0.000 0.000
2 Th 0.000 0.500 0.500
3 Th 0.500 0.000 0.500
4 Th 0.500 0.500 0.000
5 Mn 0.500 0.500 0.500

Results
**Energy of formation from the pure elements**: 0.141 eV per atom
**Space group**: Pm-3m, No. 221



6.
This record from Alexandria describes a geometry-optimized NdTh2Mn structure. The functional is PBE-GGA.

Unit cell a=10.304 b=10.304 c=10.304 alpha=21.08 beta=21.08 gamma=21.08
Fractional coordinates of all 4 atoms:
1 Nd 0.000 0.000 0.000
2 Th 0.115 0.115 0.115
3 Th 0.885 0.885 0.885
4 Mn 0.500 0.500 0.500

Results
**Energy of formation from the pure elements**: 0.397 eV per atom
**Offset from the most stable computed form**: 230 meV/atom
**Space group**: R-3m, No. 166



7.
This record from Alexandria describes a geometry-optimized Nd2ThMn structure. The functional is PBE-GGA.

Unit cell a=3.623 b=3.623 c=8.855 alpha=90.00 beta=90.00 gamma=90.00
Fractional coordinates of all 4 atoms:
1 Nd 0.000 0.000 0.214
2 Nd 0.000 0.000 0.786
3 Th 0.500 0.500 0.500
4 Mn 0.500 0.500 0.000

Results
**Energy of formation from the pure elements**: 0.211 eV per atom
**Space group**: P4/mmm, No. 123



8.
This record from Alexandria describes a geometry-optimized Nd2MnTl structure. The functional is PBE-GGA.

Unit cell a=3.735 b=3.735 c=7.893 alpha=90.00 beta=90.00 gamma=90.00
Fractional coordinates of all 4 atoms:
1 Nd 0.000 0.000 0.230
2 Nd 0.000 0.000 0.770
3 Mn 0.500 0.500 0.000
4 Tl 0.500 0.500 0.500

Results
**Energy of formation from the pure elements**: -0.030 eV per atom
**Space group**: P4/mmm, No. 123



9.
This record from Alexandria describes a geometry-optimized NdTm2Mn structure. The functional is PBE-GGA.

Unit cell a=11.474 b=11.474 c=11.474 alpha=17.00 beta=17.00 gamma=17.00
Fractional coordinates of all 4 atoms:
1 Nd 0.000 0.000 0.000
2 Tm 0.420 0.420 0.420
3 Tm 0.580 0.580 0.580
4 Mn 0.500 0.500 0.500

Results
**Energy of formation from the pure elements**: 0.525 eV per atom
**Offset from the most stable computed form**: 426 meV/atom
**Space group**: R-3m, No. 166



10.
This record from Alexandria describes a geometry-optimized NdTm3Mn structure. The functional is PBE-GGA.

Unit cell a=5.265 b=5.265 c=5.265 alpha=90.00 beta=90.00 gamma=90.00
Fractional coordinates of all 5 atoms:
1 Nd 0.000 0.000 0.000
2 Tm 0.000 0.500 0.500
3 Tm 0.500 0.000 0.500
4 Tm 0.500 0.500 0.000
5 Mn 0.500 0.500 0.500

Results
**Energy of formation from the pure elements**: 0.195 eV per atom
**Space group**: Pm-3m, No. 221



11.
This record from Alexandria describes a geometry-optimized NdTmMn17 structure. The functional is PBE-GGA.

Unit cell a=6.340 b=6.340 c=6.340 alpha=86.29 beta=86.29 gamma=86.29
Fractional coordinates of all 19 atoms:
1 Nd 0.000 0.000 0.000
2 Tm 0.290 0.290 0.290
3 Mn 0.143 0.641 0.641
4 Mn 0.289 0.289 0.765
5 Mn 0.289 0.765 0.289
6 Mn 0.368 0.641 0.917
7 Mn 0.368 0.917 0.641
8 Mn 0.519 0.999 0.999
9 Mn 0.543 0.543 0.543
10 Mn 0.641 0.143 0.641
11 Mn 0.641 0.368 0.917
12 Mn 0.641 0.641 0.143
13 Mn 0.641 0.917 0.368
14 Mn 0.742 0.742 0.742
15 Mn 0.765 0.289 0.289
16 Mn 0.917 0.368 0.641
17 Mn 0.917 0.641 0.368
18 Mn 0.999 0.519 0.999
19 Mn 0.999 0.999 0.519

Results
**Energy of formation from the pure elements**: 0.024 eV per atom
**Space group**: R3m, No. 160



12.
This record from Alexandria describes a geometry-optimized NdTmMn structure. The functional is PBE-GGA.

Unit cell a=6.862 b=6.862 c=6.862 alpha=150.27 beta=150.27 gamma=42.55
Fractional coordinates of all 3 atoms:
1 Nd 0.000 0.000 0.000
2 Tm 0.275 0.275 0.000
3 Mn 0.646 0.646 0.000

Results
**Energy of formation from the pure elements**: 0.184 eV per atom
**Space group**: I4mm, No. 107



The records above give, respectively, DOS at the Fermi energy values of 5.51, 4.80, 8.24, 6.06, 9.45, 5.50, 5.95, 3.67, 4.33, 8.03, 18.44, 4.70 states/eV per cell.
The records above give, respectively, mass density values of 6.9, 9.4, 8.9, 9.8, 9.8, 8.9, 8.2, 8.3, 7.9, 8.0, 8.2, 7.7 Mg/m³.
The records above give, respectively, final energy values of -4.446, -6.988, -7.013, -7.027, -7.099, -6.797, -6.321, -5.298, -5.195, -5.275, -8.667, -5.952 eV/atom.